The following is a DFT calculation (PBE-GGA) of crystalline Co3Ni8Pt3 at its relaxed geometry.

E_form = 0.10 eV per atom
total magnetic moment = 0.838 μB per atom
volume = 12.3 Å³/atom

Cell: 6.9534 6.9534 6.9534 Å, 147.58 97.77 91.18°
Positions (direct):
Co1 0.0000 0.0000 0.0000
Co2 0.1512 0.5000 0.6512
Co3 0.8488 0.5000 0.3488
Ni1 0.0742 0.8549 0.2192
Ni2 0.2431 0.3711 0.8720
Ni3 0.3643 0.1451 0.2192
Ni4 0.4991 0.3711 0.1280
Ni5 0.5009 0.6289 0.8720
Ni6 0.6357 0.8549 0.7808
Ni7 0.7569 0.6289 0.1280
Ni8 0.9258 0.1451 0.7808
Pt1 0.2197 0.7197 0.5000
Pt2 0.5000 0.0000 0.5000
Pt3 0.7803 0.2803 0.5000